Density functional theory data (GGA-PBE) for SrFe2 after structural relaxation.

Cell: 4.0882 4.0882 9.9274 Å, 90.00 90.00 120.00°
Fractional positions:
1 Sr 0.6667 0.3333 0.6913
2 Sr 0.3333 0.6667 0.3087
3 Fe 0.3333 0.6667 0.9643
4 Fe 0.0000 0.0000 0.1088
5 Fe 0.0000 0.0000 0.8912
6 Fe 0.6667 0.3333 0.0357

---

Density functional theory data (GGA-PBE) for SrFe after structural relaxation.

Cell: 11.3660 3.9216 8.1013 Å, 90.00 90.00 90.00°
Fractional positions:
1 Sr 0.8157 0.0000 0.2341
2 Sr 0.1843 0.0000 0.2341
3 Sr 0.3157 0.5000 0.7341
4 Sr 0.6843 0.5000 0.7341
5 Sr 0.0000 0.5000 0.8672
6 Sr 0.5000 0.0000 0.3672
7 Fe 0.9023 0.0000 0.5944
8 Fe 0.0977 0.0000 0.5944
9 Fe 0.4023 0.5000 0.0944
10 Fe 0.5977 0.5000 0.0944
11 Fe 0.0000 0.5000 0.4779
12 Fe 0.5000 0.0000 0.9779

---

Density functional theory data (GGA-PBE) for SrFe2 after structural relaxation.

Cell: 5.9775 5.9775 5.9775 Å, 147.77 147.77 46.22°
Fractional positions:
1 Fe 0.2868 0.2868 0.0000
2 Fe 0.7132 0.7132 0.0000
3 Sr 0.0000 0.0000 0.0000

---

Density functional theory data (GGA-PBE) for Sr3Fe after structural relaxation.

Cell: 11.4850 11.4850 11.4850 Å, 20.93 20.93 20.93°
Fractional positions:
1 Fe 0.0000 0.0000 0.0000
2 Sr 0.7250 0.7250 0.7250
3 Sr 0.5000 0.5000 0.5000
4 Sr 0.2750 0.2750 0.2750

---

Density functional theory data (GGA-PBE) for Sr3Fe after structural relaxation.

Cell: 6.8404 6.8404 6.8404 Å, 90.00 90.00 90.00°
Fractional positions:
1 Sr 0.7500 0.5000 0.0000
2 Sr 0.2500 0.5000 0.0000
3 Sr 0.0000 0.7500 0.5000
4 Sr 0.0000 0.2500 0.5000
5 Sr 0.5000 0.0000 0.2500
6 Sr 0.5000 0.0000 0.7500
7 Fe 0.0000 0.0000 0.0000
8 Fe 0.5000 0.5000 0.5000

---

Density functional theory data (GGA-PBE) for SrFe after structural relaxation.

Cell: 5.1560 5.1560 5.1560 Å, 42.38 42.38 42.38°
Fractional positions:
1 Fe 0.0000 0.0000 0.0000
2 Sr 0.5000 0.5000 0.5000

---

The records above give, respectively, energy relative to the elements values of 277; 441; 535; 510; 643; 1082 meV per atom.
The records above give, respectively, V values of 71.8; 60.2; 60.5; 169.3; 160.0; 56.4 Å³/f.u..